[1]
Compound: Tb2YSn4Pb3
Source: OQMD via LeMat-Bulk
Functional: PBE-GGA
Structure: optimized geometry

Calculated values
Its crystal system is orthorhombic. The calculated total energy comes out at -47.32 eV for the cell shown. Its space group is Cmmm (65).

Lattice parameters (Å, degrees): 13.5618 13.5618 4.5018 90.00 90.00 160.97
Sites, in units of the cell vectors:
Y1 0.5000 0.5000 0.5000
Sn1 0.9031 0.0969 0.5000
Pb1 0.0000 0.0000 0.0000
Tb1 0.8123 0.1877 0.0000
Sn2 0.0969 0.9031 0.5000
Tb2 0.1877 0.8123 0.0000
Pb2 0.7092 0.2908 0.5000
Sn3 0.4035 0.5965 0.0000
Pb3 0.2908 0.7092 0.5000
Sn4 0.5965 0.4035 0.0000

[2]
Compound: DyHf4C2S
Source: OQMD via LeMat-Bulk
Functional: PBE-GGA
Structure: optimized geometry

Calculated values
Its crystal system is hexagonal. The calculated total energy comes out at -74.07 eV for the cell shown. Its space group is P-6m2 (187).

Lattice parameters (Å, degrees): 3.3462 3.3462 14.3207 90.00 90.00 120.00
Last column: magnetic moment on the atom in μB.
Sites, in units of the cell vectors:
Hf1 0.0000 0.0000 0.8730  0.01
S1 0.3333 0.6667 0.0000  0.00
C1 0.6667 0.3333 0.2112  0.00
C2 0.6667 0.3333 0.7888  0.00
Hf2 0.0000 0.0000 0.1270  0.01
Hf3 0.3333 0.6667 0.2994  0.08
Hf4 0.3333 0.6667 0.7006  0.08
Dy1 0.0000 0.0000 0.5000  0.41

[3]
Compound: KHoCoS3
Source: OQMD via LeMat-Bulk
Functional: PBE-GGA
Structure: optimized geometry

Calculated values
Its crystal system is monoclinic. The calculated total energy comes out at -66.01 eV for the cell shown. Its space group is P2_1/m (11).

Lattice parameters (Å, degrees): 8.7143 3.8598 9.1397 90.00 107.61 90.00
Last column: magnetic moment on the atom in μB.
Sites, in units of the cell vectors:
K1 0.2081 0.2500 0.7380  0.00
S1 0.1801 0.7500 0.0369  0.12
Co1 0.0750 0.2500 0.0917  1.42
Ho1 0.3273 0.7500 0.3591  0.02
S2 0.8938 0.7500 0.6515  0.10
Co2 0.9250 0.7500 0.9083  1.42
S3 0.5382 0.2500 0.3359  0.01
K2 0.7919 0.7500 0.2620  0.00
S4 0.8199 0.2500 0.9631  0.12
S5 0.4618 0.7500 0.6641  0.01
S6 0.1062 0.2500 0.3485  0.10
Ho2 0.6727 0.2500 0.6409  0.02

[4]
Compound: PrNdCu2P4
Source: OQMD via LeMat-Bulk
Functional: PBE-GGA
Structure: optimized geometry

Calculated values
Its crystal system is tetragonal. The calculated total energy comes out at -45.31 eV for the cell shown. Its space group is P4mm (99).

Lattice parameters (Å, degrees): 3.8004 3.8004 10.0500 90.00 90.00 90.00
Sites, in units of the cell vectors:
Nd1 0.0000 0.0000 0.2341
P1 0.0000 0.0000 0.6435
P2 0.5000 0.0000 0.0015
Cu1 0.0000 0.5000 0.4994
P3 0.0000 0.5000 0.0015
Pr1 0.5000 0.5000 0.7661
P4 0.5000 0.5000 0.3545
Cu2 0.5000 0.0000 0.4994

[5]
Compound: Pr2YCd3Cu2Ag
Source: OQMD via LeMat-Bulk
Functional: PBE-GGA
Structure: optimized geometry

Calculated values
Its crystal system is orthorhombic. The calculated total energy comes out at -31.59 eV for the cell shown. Its space group is Amm2 (38).

Lattice parameters (Å, degrees): 3.9666 7.7858 7.7858 120.31 90.00 90.00
Sites, in units of the cell vectors:
Cd1 0.5000 0.7312 0.7312
Y1 0.0000 0.4117 0.4117
Cd2 0.5000 0.0055 0.2654
Ag1 0.0000 0.0019 0.0019
Pr1 0.0000 0.9997 0.5885
Pr2 0.0000 0.5885 0.9997
Cu1 0.5000 0.6612 0.3350
Cu2 0.5000 0.3350 0.6612
Cd3 0.5000 0.2654 0.0055

[6]
Compound: Pr2Y2CI3Cl2
Source: OQMD via LeMat-Bulk
Functional: PBE-GGA
Structure: optimized geometry

Calculated values
Its crystal system is monoclinic. The calculated total energy comes out at -53.47 eV for the cell shown. Its space group is C2/m (12).

Lattice parameters (Å, degrees): 9.5520 9.5520 8.5282 101.43 101.43 23.85
Last column: magnetic moment on the atom in μB.
Sites, in units of the cell vectors:
Pr1 0.6386 0.6386 0.0742  0.06
Cl1 0.1456 0.1456 0.3195  0.01
C1 0.5000 0.5000 0.0000  0.00
Y1 0.9985 0.9985 0.1908  0.02
Pr2 0.3614 0.3614 0.9258  0.06
I1 0.1703 0.1703 0.8003  0.00
I2 0.5000 0.5000 0.5000  0.00
Y2 0.0015 0.0015 0.8092  0.02
Cl2 0.8543 0.8543 0.6805  0.01
I3 0.8297 0.8297 0.1997  0.00

[7]
Compound: RbPrZnTe3
Source: OQMD via LeMat-Bulk
Functional: PBE-GGA
Structure: optimized geometry

Calculated values
Its crystal system is orthorhombic. The calculated total energy comes out at -90.95 eV for the cell shown. Its space group is Pnma (62).

Lattice parameters (Å, degrees): 4.6574 12.7576 13.8922 90.00 90.00 90.00
Sites, in units of the cell vectors:
Te1 0.2500 0.8966 0.5624
Zn1 0.7500 0.7509 0.2033
Te2 0.2500 0.5462 0.6670
Rb1 0.2500 0.3224 0.4969
Rb2 0.7500 0.6776 0.5031
Te3 0.7500 0.2872 0.6986
Rb3 0.2500 0.8224 0.0031
Te4 0.2500 0.0462 0.8330
Te5 0.2500 0.3966 0.9376
Pr1 0.7500 0.0286 0.6741
Te6 0.7500 0.9538 0.1670
Zn2 0.2500 0.7491 0.7033
Zn3 0.2500 0.2491 0.7967
Te7 0.7500 0.4538 0.3330
Zn4 0.7500 0.2509 0.2967
Rb4 0.7500 0.1776 0.9969
Te8 0.2500 0.7128 0.3014
Pr2 0.7500 0.5286 0.8259
Pr3 0.2500 0.9714 0.3259
Te9 0.7500 0.1034 0.4376
Te10 0.2500 0.2128 0.1986
Pr4 0.2500 0.4714 0.1741
Te11 0.7500 0.7872 0.8014
Te12 0.7500 0.6034 0.0624

[8]
Compound: Tb2YIn3PdPt2
Source: OQMD via LeMat-Bulk
Functional: PBE-GGA
Structure: optimized geometry

Calculated values
Its crystal system is orthorhombic. The calculated total energy comes out at -49.86 eV for the cell shown. Its space group is Amm2 (38).

Lattice parameters (Å, degrees): 3.8448 7.7278 7.7278 120.04 90.00 90.00
Sites, in units of the cell vectors:
Pd1 0.0000 0.9986 0.9986
In1 0.5000 0.0014 0.2583
Tb1 0.0000 0.0004 0.5897
Y1 0.0000 0.4099 0.4099
Pt1 0.5000 0.6684 0.3331
In2 0.5000 0.7403 0.7403
Pt2 0.5000 0.3331 0.6684
Tb2 0.0000 0.5897 0.0004
In3 0.5000 0.2583 0.0014